[1]
Here is a relaxed structure of PIrS2F from Alexandria via LeMat-Bulk. Energies are from PBE. Values from VASP.

```
&SYSTEM
  ibrav = 0, nat = 5, ntyp = 4
/
ATOMIC_SPECIES
P 30.97 P.upf
Ir 192.22 Ir.upf
S 32.06 S.upf
F 19.00 F.upf
ATOMIC_POSITIONS angstrom
P 0.000 0.000 0.000
Ir 0.000 0.000 2.288
S 0.000 2.336 2.288
S 2.336 0.000 2.288
F 2.336 2.336 0.000
CELL_PARAMETERS angstrom
4.673 0.000 0.000
0.000 4.673 0.000
0.000 0.000 4.577
```

Properties
SG: P4/mmm
Distance to the lowest polymorph of the same formula: 0 meV per atom



[2]
Here is a relaxed structure of ScP2IrF from Alexandria via LeMat-Bulk. Energies are from PBE. Values from VASP.

```
&SYSTEM
  ibrav = 0, nat = 5, ntyp = 4
/
ATOMIC_SPECIES
Sc 44.96 Sc.upf
P 30.97 P.upf
Ir 192.22 Ir.upf
F 19.00 F.upf
ATOMIC_POSITIONS angstrom
Sc 0.000 0.000 0.000
P 0.000 2.482 0.000
P 2.482 0.000 0.000
Ir 2.482 2.482 1.871
F 0.000 0.000 1.871
CELL_PARAMETERS angstrom
4.964 0.000 0.000
0.000 4.964 0.000
0.000 0.000 3.743
```

Properties
SG: P4/mmm
Distance to the lowest polymorph of the same formula: 158 meV per atom



[3]
Here is a relaxed structure of ScP2IrF from Alexandria via LeMat-Bulk. Energies are from PBE. Values from VASP.

```
&SYSTEM
  ibrav = 0, nat = 5, ntyp = 4
/
ATOMIC_SPECIES
Sc 44.96 Sc.upf
P 30.97 P.upf
Ir 192.22 Ir.upf
F 19.00 F.upf
ATOMIC_POSITIONS angstrom
Sc 0.000 0.000 0.000
P 0.000 2.216 2.696
P 2.216 0.000 2.696
Ir 0.000 0.000 2.696
F 2.216 2.216 0.000
CELL_PARAMETERS angstrom
4.432 0.000 0.000
0.000 4.432 0.000
0.000 0.000 5.392
```

Properties
SG: P4/mmm
Distance to the lowest polymorph of the same formula: 0 meV per atom



[4]
Here is a relaxed structure of SmPIrF from Alexandria via LeMat-Bulk. Energies are from PBE. Values from VASP.

```
&SYSTEM
  ibrav = 0, nat = 8, ntyp = 4
/
ATOMIC_SPECIES
Sm 150.36 Sm.upf
P 30.97 P.upf
Ir 192.22 Ir.upf
F 19.00 F.upf
ATOMIC_POSITIONS angstrom
Sm 0.983 0.983 1.592
Sm 2.948 2.948 6.790
P 0.983 0.983 5.582
P 2.948 2.948 2.801
Ir 0.983 2.948 4.191
Ir 2.948 0.983 4.191
F 0.983 2.948 0.000
F 2.948 0.983 0.000
CELL_PARAMETERS angstrom
3.930 0.000 0.000
0.000 3.930 0.000
0.000 0.000 8.382
```

Properties
SG: P4/nmm



[5]
Here is a relaxed structure of YP2IrF from Alexandria via LeMat-Bulk. Energies are from PBE. Values from VASP.

```
&SYSTEM
  ibrav = 0, nat = 5, ntyp = 4
/
ATOMIC_SPECIES
Y 88.91 Y.upf
P 30.97 P.upf
Ir 192.22 Ir.upf
F 19.00 F.upf
ATOMIC_POSITIONS angstrom
Y 0.000 0.000 0.000
P 0.000 2.627 0.000
P 2.627 0.000 0.000
Ir 0.000 0.000 2.641
F 2.627 2.627 2.641
CELL_PARAMETERS angstrom
5.254 0.000 0.000
0.000 5.254 0.000
0.000 0.000 5.283
```

Properties
SG: P4/mmm



[6]
Here is a relaxed structure of ZnPIr2F from Alexandria via LeMat-Bulk. Energies are from PBE. Values from VASP.

```
&SYSTEM
  ibrav = 0, nat = 5, ntyp = 4
/
ATOMIC_SPECIES
Zn 65.41 Zn.upf
P 30.97 P.upf
Ir 192.22 Ir.upf
F 19.00 F.upf
ATOMIC_POSITIONS angstrom
Zn 0.000 0.000 0.000
P 2.136 2.136 0.000
Ir 0.000 2.136 2.128
Ir 2.136 0.000 2.128
F 2.136 2.136 2.128
CELL_PARAMETERS angstrom
4.272 0.000 0.000
0.000 4.272 0.000
0.000 0.000 4.257
```

Properties
SG: P4/mmm



[7]
Here is a relaxed structure of Zr2PIrF from Alexandria via LeMat-Bulk. Energies are from PBE. Values from VASP.

```
&SYSTEM
  ibrav = 0, nat = 5, ntyp = 4
/
ATOMIC_SPECIES
Zr 91.22 Zr.upf
P 30.97 P.upf
Ir 192.22 Ir.upf
F 19.00 F.upf
ATOMIC_POSITIONS angstrom
Zr 0.000 2.139 0.000
Zr 2.139 0.000 0.000
P 0.000 0.000 2.319
Ir 2.139 2.139 2.319
F 0.000 0.000 0.000
CELL_PARAMETERS angstrom
4.277 0.000 0.000
0.000 4.277 0.000
0.000 0.000 4.639
```

Properties
SG: P4/mmm



[8]
Here is a relaxed structure of IrPbF2 from Alexandria via LeMat-Bulk. Energies are from PBE. Values from VASP.

```
&SYSTEM
  ibrav = 0, nat = 8, ntyp = 3
/
ATOMIC_SPECIES
Ir 192.22 Ir.upf
Pb 207.20 Pb.upf
F 19.00 F.upf
ATOMIC_POSITIONS angstrom
Ir 0.000 0.000 0.000
Ir 0.000 2.001 4.030
Pb 2.001 0.000 4.030
Pb 0.000 0.000 8.059
F 3.001 0.799 -2.015
F 0.799 1.000 2.015
F -1.000 1.202 6.044
F 1.202 1.000 10.074
CELL_PARAMETERS angstrom
-2.001 2.001 8.059
2.001 -2.001 8.059
2.001 2.001 -8.059
```

Properties
SG: I-42d
Distance to the lowest polymorph of the same formula: 182 meV per atom



[9]
Here is a relaxed structure of Ir2PbF from Alexandria via LeMat-Bulk. Energies are from PBE. Values from VASP.

```
&SYSTEM
  ibrav = 0, nat = 4, ntyp = 3
/
ATOMIC_SPECIES
Ir 192.22 Ir.upf
Pb 207.20 Pb.upf
F 19.00 F.upf
ATOMIC_POSITIONS angstrom
Ir 1.591 1.591 1.591
Ir 4.774 4.774 4.774
Pb 0.000 0.000 0.000
F 3.183 3.183 3.183
CELL_PARAMETERS angstrom
0.000 3.183 3.183
3.183 0.000 3.183
3.183 3.183 0.000
```

Properties
SG: Fm-3m
Distance to the lowest polymorph of the same formula: 529 meV per atom



[10]
Here is a relaxed structure of IrPb2F from Alexandria via LeMat-Bulk. Energies are from PBE. Values from VASP.

```
&SYSTEM
  ibrav = 0, nat = 8, ntyp = 3
/
ATOMIC_SPECIES
Ir 192.22 Ir.upf
Pb 207.20 Pb.upf
F 19.00 F.upf
ATOMIC_POSITIONS angstrom
Ir 0.000 0.000 0.000
Ir 0.000 2.960 3.166
Pb 1.480 -1.426 4.749
Pb 1.533 1.480 1.583
Pb 1.480 4.386 -1.583
Pb 1.426 1.480 7.916
F 2.960 0.000 3.166
F 0.000 0.000 6.333
CELL_PARAMETERS angstrom
-2.960 2.960 6.333
2.960 -2.960 6.333
2.960 2.960 -6.333
```

Properties
SG: I-42d
Distance to the lowest polymorph of the same formula: 91 meV per atom



[11]
Here is a relaxed structure of IrPbF2 from Alexandria via LeMat-Bulk. Energies are from PBE. Values from VASP.

```
&SYSTEM
  ibrav = 0, nat = 4, ntyp = 3
/
ATOMIC_SPECIES
Ir 192.22 Ir.upf
Pb 207.20 Pb.upf
F 19.00 F.upf
ATOMIC_POSITIONS angstrom
Ir 0.000 0.000 0.000
Pb 3.170 3.170 3.170
F 1.585 1.585 1.585
F 4.755 4.755 4.755
CELL_PARAMETERS angstrom
0.000 3.170 3.170
3.170 0.000 3.170
3.170 3.170 0.000
```

Properties
SG: Fm-3m
Distance to the lowest polymorph of the same formula: 520 meV per atom



[12]
Here is a relaxed structure of IrPbF3 from Alexandria via LeMat-Bulk. Energies are from PBE. Values from VASP.

```
&SYSTEM
  ibrav = 0, nat = 5, ntyp = 3
/
ATOMIC_SPECIES
Ir 192.22 Ir.upf
Pb 207.20 Pb.upf
F 19.00 F.upf
ATOMIC_POSITIONS angstrom
Ir 0.000 0.000 0.000
Pb 2.179 2.179 2.179
F 0.000 0.000 2.179
F 0.000 2.179 0.000
F 2.179 0.000 0.000
CELL_PARAMETERS angstrom
4.357 0.000 0.000
0.000 4.357 0.000
0.000 0.000 4.357
```

Properties
SG: Pm-3m
Distance to the lowest polymorph of the same formula: 0 meV per atom



Number 1: formation energy (no corrections) 256 kJ/mol of formula units, density of states at the Fermi level 6.37 states/eV per cell. Number 2: formation energy (no corrections) -88 kJ/mol of formula units, density of states at the Fermi level 3.92 states/eV per cell. Number 3: formation energy (no corrections) -165 kJ/mol of formula units, density of states at the Fermi level 3.58 states/eV per cell. Number 4: formation energy (no corrections) -773 kJ/mol of formula units, density of states at the Fermi level 2.43 states/eV per cell. Number 5: formation energy (no corrections) 577 kJ/mol of formula units, density of states at the Fermi level 5.44 states/eV per cell. Number 6: formation energy (no corrections) 510 kJ/mol of formula units, density of states at the Fermi level 4.87 states/eV per cell. Number 7: formation energy (no corrections) -201 kJ/mol of formula units, density of states at the Fermi level 4.78 states/eV per cell. Number 8: formation energy (no corrections) -221 kJ/mol of formula units, density of states at the Fermi level 4.25 states/eV per cell. Number 9: formation energy (no corrections) 182 kJ/mol of formula units, density of states at the Fermi level 2.93 states/eV per cell. Number 10: formation energy (no corrections) -127 kJ/mol of formula units, density of states at the Fermi level 2.37 states/eV per cell. Number 11: formation energy (no corrections) -90 kJ/mol of formula units, density of states at the Fermi level 5.99 states/eV per cell. Number 12: formation energy (no corrections) -382 kJ/mol of formula units, density of states at the Fermi level 2.22 states/eV per cell.